Entry from the Alexandria database: crystalline GaSnC3 at its relaxed geometry (PBE-GGA).

The structure belongs to space group Pm-3m (No. 221); the cell edges are 4.076, 4.076 and 4.076 Å and the angles 90.00°, 90.00° and 90.00°. Symmetry generates all atoms from Ga at (0.000, 0.000, 0.000), Sn at (0.500, 0.500, 0.500) and C at (0.000, 0.000, 0.500).

The formation enthalpy at 0 K is 2.5148 eV/atom. The calculation puts the distance to the lowest polymorph of the same formula at 0.0 meV/atom. For the total energy, the calculation gives -4.4254 eV/atom. As for the density of states at the Fermi level: 3.76 states/eV/cell.